Entry 1:
First-principles (PBE-GGA) data for crystalline ZnMo5 at its relaxed geometry, as listed in the Alexandria database.

Computed properties:
Calculated volume, A^3/atom: 15.6
Formation enthalpy at 0 K, eV per formula unit: 0.688
Total magnetization, μB per cell: 0.0
Raw total energy, hartree per atom: -0.335
Energy above the most stable polymorph in this dataset, meV/atom: 0

Cell lengths 4.377, 13.162, 3.245 Å; angles 90.00, 90.00, 90.00 degrees
Space group Cmmm (No. 65)
Asymmetric unit:
1 Zn 0.000 0.000 0.000 [2 per cell]
2 Mo 0.000 0.169 0.500 [4 per cell]
3 Mo 0.000 0.338 0.000 [4 per cell]
4 Mo 0.000 0.500 0.500 [2 per cell]



Entry 2:
First-principles (PBE-GGA) data for crystalline TlCu2OsO6 at its relaxed geometry, as listed in the Alexandria database.

Computed properties:
Calculated volume, A^3/atom: 17.9
Total magnetization, μB per cell: 0.0
E_form (uncorrected), eV per atom: -0.681
Raw total energy, hartree per atom: -0.214

Cell lengths 9.066, 11.506, 7.437 Å; angles 90.00, 112.55, 90.00 degrees
Space group C2/c (No. 15)
Asymmetric unit:
1 Tl 0.000 0.244 0.250 [4 per cell]
2 Cu 0.130 0.007 0.184 [8 per cell]
3 Os 0.000 0.395 0.750 [4 per cell]
4 O 0.086 0.304 0.952 [8 per cell]
5 O 0.100 0.035 0.424 [8 per cell]
6 O 0.138 0.489 0.702 [8 per cell]



Entry 3:
First-principles (PBE-GGA) data for crystalline PmFe10B2 at its relaxed geometry, as listed in the Alexandria database.

Computed properties:
Calculated volume, A^3/atom: 11.6
Formation enthalpy at 0 K, eV per formula unit: -0.098
Total magnetization, μB per cell: 80.4
Raw total energy, hartree per atom: -0.291

Cell lengths 8.227, 9.272, 7.885 Å; angles 90.00, 90.00, 90.00 degrees
Space group Cmcm (No. 63)
Asymmetric unit:
1 Pm 0.000 0.113 0.250 [4 per cell]
2 Fe 0.000 0.171 0.595 [8 per cell]
3 Fe 0.000 0.388 0.076 [8 per cell]
4 Fe 0.142 0.386 0.750 [8 per cell]
5 Fe 0.236 0.000 0.000 [8 per cell]
6 Fe 0.242 0.354 0.250 [8 per cell]
7 B 0.250 0.250 0.000 [8 per cell]



Entry 4:
First-principles (PBE-GGA) data for crystalline Re2NiPt at its relaxed geometry, as listed in the Alexandria database.

Computed properties:
Calculated volume, A^3/atom: 14.1
Formation enthalpy at 0 K, eV per formula unit: 0.160
Total magnetization, μB per cell: 0.0
Raw total energy, hartree per atom: -0.336
Energy above the most stable polymorph in this dataset, meV/atom: 86

Cell lengths 3.755, 3.755, 4.010 Å; angles 90.00, 90.00, 90.00 degrees
Space group P4/mmm (No. 123)
Asymmetric unit:
1 Re 0.000 0.500 0.000 [2 per cell]
2 Ni 0.000 0.000 0.500 [1 per cell]
3 Pt 0.500 0.500 0.500 [1 per cell]



Entry 5:
First-principles (PBE-GGA) data for crystalline DyVTc at its relaxed geometry, as listed in the Alexandria database.

Computed properties:
Calculated volume, A^3/atom: 18.3
Formation enthalpy at 0 K, eV per formula unit: 0.611
Total magnetization, μB per cell: 0.0
Raw total energy, hartree per atom: -0.288
Energy above the most stable polymorph in this dataset, meV/atom: 101

Cell lengths 4.3940, 4.3940, 3.2851 Å; angles 90.00, 90.00, 120.00 degrees
Space group P3m1 (No. 156)
Asymmetric unit:
1 Dy 0.0000 0.0000 0.0000 [1 per cell]
2 V 0.6667 0.3333 0.5842 [1 per cell]
3 Tc 0.3333 0.6667 0.3848 [1 per cell]



Entry 6:
First-principles (PBE-GGA) data for crystalline CsK2TlN at its relaxed geometry, as listed in the Alexandria database.

Computed properties:
Calculated volume, A^3/atom: 47.5
Total magnetization, μB per cell: 0.0
E_form (uncorrected), eV per atom: 0.641
Raw total energy, hartree per atom: -0.077

Cell lengths 7.235, 7.235, 4.542 Å; angles 90.00, 90.00, 90.00 degrees
Space group P4/mmm (No. 123)
Asymmetric unit:
1 Cs 0.000 0.000 0.000 [1 per cell]
2 K 0.000 0.500 0.500 [2 per cell]
3 Tl 0.500 0.500 0.500 [1 per cell]
4 N 0.500 0.500 0.000 [1 per cell]